Here is a relaxed structure of Na2ZnCd6In from the Alexandria database. Energies are from PBE.

The density of states at the Fermi level comes out at 3.249 states/eV/f.u. For the formation energy, the calculation gives 0.0371 eV/atom. The magnetic moment is 0.0 μB per formula unit. As for the total energy: -70.623 eV/cell.

The space group is R-3m (No. 166, hexagonal axes) and the conventional cell measures 7.2853, 7.2853 and 36.1810 Å, with angles of 90.00, 90.00 and 120.00 degrees. The asymmetric unit holds Na at (0.0000, 0.0000, 0.1005), Na at (0.0000, 0.0000, 0.2759), Zn at (0.0000, 0.0000, 0.0000), Zn at (0.0000, 0.0000, 0.5000), Cd at (0.0596, 0.5298, 0.3078), Cd at (0.0689, 0.5345, 0.8600) and In at (0.0000, 0.0000, 0.4251).